Computed, not measured: a relaxed RhPb3 crystal at the PBE level of DFT.

Cell: 3.578 3.578 9.439 Å, 90.00 90.00 120.00°
Atoms (fractional coordinates):
Rh: 0.000 0.000 0.000
Pb: 0.000 0.000 0.500
Pb: 0.333 0.667 0.201
Pb: 0.333 0.667 0.799

Summary:
Its theoretical density is 11.50 g cm⁻³. The formation energy is 6.1 kJ per mole of atoms. The calculation puts the density of states at the Fermi level at 3.0 states/eV/f.u.